MnReSn2F, optimized geometry, DFT PBE+U; N(E_F) = 0.42 states/eV per atom; E = -4.9480 eV/atom; crystal system = tetragonal
1.0
-0.813 -4.435 -2.178
-1.080 -1.713 3.892
-4.785 1.257 -0.774
Re F Mn Sn
1 1 1 2
direct
0.000 0.500 0.000
0.500 0.500 0.500
0.000 0.000 0.000
0.000 0.000 0.500
0.500 0.000 0.000